VASP calculation (PBE-GGA) on a geometry-optimized GdTmZr2 structure.

Lattice parameters (Å, degrees): 4.6926 4.6926 4.7838 90.00 90.00 90.00
With the nearest neighbours (Å) after each atom.
Space group P4/mmm (No. 123)
One atom of each set of equivalent atoms:
1 Gd 0.0000 0.0000 0.0000 x1  4 Tm 3.32, 8 Zr 3.35
2 Tm 0.5000 0.5000 0.0000 x1  4 Gd 3.32, 8 Zr 3.35
3 Zr 0.0000 0.5000 0.5000 x2  4 Zr 3.32, 4 Gd 3.35, 4 Tm 3.35

Computed properties:
The calculation puts the relative energy among the computed polymorphs at 0.0 meV/atom. As for the mass density: 8018 kg/m³. As for the formation enthalpy at 0 K: 111 meV/atom.